# V2O5

An optimized crystal structure of V2O5 (PBE+U, the Alexandria database).

Computed properties:
The calculated density comes out at 2.1 g/cm3. The value obtained for the final energy is -7.45 eV/atom.

Cell lengths 10.453, 5.829, 11.245 Å; angles 67.03, 30.89, 82.07 degrees
Element x y z (fractional)
V 0.018 0.982 0.139
V 0.111 0.389 0.232
V 0.389 0.111 0.268
V 0.982 0.018 0.861
O 0.109 0.109 0.891
O 0.145 0.257 0.089
O 0.161 0.740 0.105
O 0.209 0.808 0.422
O 0.257 0.145 0.510
O 0.359 0.359 0.141
O 0.689 0.828 0.442
O 0.740 0.161 0.993
O 0.808 0.209 0.561
O 0.828 0.689 0.041